[1]
VASP calculation (PBE) on a geometry-optimized ErPaSnHg structure.

POSCAR file:
```
ErPaSnHg
1.0
0.000 3.735 3.735
3.735 0.000 3.735
3.735 3.735 0.000
Er Pa Sn Hg
1 1 1 1
direct
0.000 0.000 0.000
0.500 0.500 0.500
0.750 0.750 0.750
0.250 0.250 0.250
```

Properties
* symmetry: F-43m
* energy relative to the elements: -0.178 eV per atom

=====

[2]
VASP calculation (PBE) on a geometry-optimized Pu6As5P structure.

POSCAR file:
```
Pu6As5P
1.0
3.566 -6.177 0.000
3.566 6.177 0.000
-2.378 0.000 6.723
Pu As P
6 5 1
direct
0.082 0.409 0.746
0.245 0.245 0.253
0.409 0.082 0.746
0.591 0.918 0.254
0.755 0.755 0.747
0.918 0.591 0.254
0.169 0.831 0.000
0.334 0.666 0.500
0.500 0.500 0.000
0.666 0.334 0.500
0.831 0.169 0.000
0.000 0.000 0.500
```

Properties
* symmetry: C2/m
* energy relative to the elements: -1.037 eV per atom

=====

[3]
VASP calculation (PBE) on a geometry-optimized LiSi2N structure.

POSCAR file:
```
LiSi2N
1.0
-2.542 2.542 4.768
2.542 -2.542 4.768
2.542 2.542 -4.768
Li Si N
2 4 2
direct
0.000 0.000 0.000
0.750 0.250 0.500
0.225 0.625 0.100
0.375 0.475 0.600
0.525 0.125 0.900
0.875 0.775 0.400
0.250 0.750 0.500
0.500 0.500 0.000
```

Properties
* ΔE_f (raw): 0.2777 eV/atom
* symmetry: I-42d

=====

Number 1: total moment 1.520 μB/f.u.. Number 2: total moment 29.956 μB/f.u.. Number 3: total moment 0.000 μB/f.u..